Below is crystalline Zr2CdTc at its relaxed geometry, with properties calculated at the PBE-GGA level.

Unit cell a=6.340 b=6.340 c=6.340 alpha=55.77 beta=152.71 gamma=132.36
Fractional positions:
Tc 0.000 0.000 0.000
Zr 0.000 0.776 0.776
Zr 0.000 0.224 0.224
Cd 0.000 0.500 0.500

Summary:
magnetization	0.0	μB/cell
total energy	-26.23	eV/cell
symmetry	Immm, No. 71
mass density	7.60	g/cm3
D(E_F)	1.004	states/eV per atom

***

Below is crystalline TiZnP2Se at its relaxed geometry, with properties calculated at the PBE-GGA level.

Unit cell a=4.367 b=5.326 c=4.367 alpha=90.00 beta=90.00 gamma=90.00
Fractional positions:
Zn 0.000 0.000 0.000
P 0.500 0.000 0.000
P 0.000 0.000 0.500
Ti 0.000 0.500 0.000
Se 0.500 0.500 0.500

Summary:
magnetization	0.0	μB/cell
symmetry	P4/mmm, No. 123
mass density	4.15	g/cm3
raw formation energy	0.781	eV per atom
D(E_F)	1.412	states/eV per atom

***

Below is crystalline CrReRh4 at its relaxed geometry, with properties calculated at the PBE-GGA level.

Unit cell a=5.791 b=5.805 c=5.806 alpha=90.00 beta=90.00 gamma=89.97
Site moments in Bohr magnetons follow the coordinates.
Fractional positions:
Re 0.500 0.750 0.750  -0.11
Re 0.500 0.250 0.250  -0.11
Rh 0.244 0.500 0.500  -0.03
Rh 0.244 0.000 0.000  -0.03
Rh 0.756 0.500 0.000  -0.03
Rh 0.756 0.500 0.500  -0.03
Rh 0.756 0.000 0.000  -0.03
Rh 0.244 0.000 0.500  -0.03
Rh 0.756 0.000 0.500  -0.03
Rh 0.244 0.500 0.000  -0.03
Cr 0.000 0.250 0.750  1.67
Cr 0.000 0.750 0.250  1.67

Summary:
magnetization	2.9	μB/cell
symmetry	P4/mmm, No. 123
mass density	11.06	g/cm3
offset from the most stable computed form	426	meV per atom
D(E_F)	1.120	states/eV per atom

***

Below is crystalline Sm2SiNi3 at its relaxed geometry, with properties calculated at the PBE-GGA level.

Unit cell a=5.644 b=5.644 c=8.029 alpha=110.04 beta=110.04 gamma=91.43
Fractional positions:
Sm 0.250 0.750 0.500
Sm 0.750 0.250 0.500
Sm 0.757 0.757 0.000
Sm 0.243 0.243 0.000
Ni 0.170 0.170 0.340
Ni 0.170 0.660 0.830
Ni 0.660 0.170 0.830
Ni 0.830 0.340 0.170
Ni 0.340 0.830 0.170
Ni 0.830 0.830 0.660
Si 0.334 0.334 0.668
Si 0.666 0.666 0.332

Summary:
magnetization	0.0	μB/cell
symmetry	Fmmm, No. 69
mass density	7.53	g/cm3
raw formation energy	-0.521	eV per atom
D(E_F)	0.696	states/eV per atom